Entry 1:
This record from Alexandria describes a geometry-optimized Sm3Se3Cl structure. The functional is PBE-GGA.

The structure in POSCAR format:
```
Sm3Se3Cl
1.0
4.156 0.000 0.000
0.000 4.156 0.000
0.000 0.000 11.345
Sm Se Cl
3 3 1
Direct
0.000 0.000 0.739
0.000 0.000 0.261
0.500 0.500 0.000
0.000 0.000 0.000
0.500 0.500 0.735
0.500 0.500 0.265
0.000 0.000 0.500
```

## Properties
Formation energy (no corrections)   -1919 meV per atom
E   -39.9 eV per formula unit


Entry 2:
This record from Alexandria describes a geometry-optimized Dy2ThBi structure. The functional is PBE-GGA.

The structure in POSCAR format:
```
Dy2ThBi
1.0
3.976 0.000 0.000
0.000 3.976 0.000
0.000 0.000 7.527
Bi Th Dy
1 1 2
Direct
0.500 0.500 0.500
0.500 0.500 0.000
0.000 0.000 0.725
0.000 0.000 0.275
```

## Properties
Energy relative to the elements   -0.35 eV/atom
Relative energy among the computed polymorphs   0 meV per atom
E   -21.9 eV per formula unit


Entry 3:
This record from Alexandria describes a geometry-optimized LaSm2OsO8 structure. The functional is PBE-GGA.

The structure in POSCAR format:
```
LaSm2OsO8
1.0
-1.015 -4.315 2.634
2.161 -2.817 -3.738
6.250 0.503 3.234
La Sm Os O
1 2 1 8
Direct
0.000 0.000 0.500
0.500 0.500 0.750
0.500 0.500 0.250
0.000 0.000 0.000
0.182 0.818 0.199
0.742 0.742 0.000
0.818 0.182 0.199
0.818 0.182 0.801
0.258 0.258 0.000
0.182 0.818 0.801
0.687 0.687 0.500
0.313 0.313 0.500
```

## Properties
Formation energy (no corrections)   -2473 meV per atom
E   -94.9 eV per formula unit


Entry 4:
This record from Alexandria describes a geometry-optimized LaTc2H structure. The functional is PBE-GGA.

The structure in POSCAR format:
```
LaTc2H
1.0
0.000 3.125 3.125
3.125 0.000 3.125
3.125 3.125 0.000
H Tc La
1 2 1
Direct
0.000 0.000 0.000
0.250 0.250 0.250
0.750 0.750 0.750
0.500 0.500 0.500
```

## Properties
Relative energy among the computed polymorphs   1103 meV per atom
E   -24.1 eV per formula unit


Entry 5:
This record from Alexandria describes a geometry-optimized Rb2ScGaCl6 structure. The functional is PBE-GGA.

The structure in POSCAR format:
```
Rb2ScGaCl6
1.0
7.707 0.000 -0.001
3.853 6.672 0.001
3.853 2.226 6.036
Rb Sc Ga Cl
2 1 1 6
Direct
0.562 0.562 0.315
0.070 0.070 0.789
0.316 0.316 0.052
0.816 0.816 0.552
0.536 0.153 0.290
0.152 0.022 0.290
0.022 0.537 0.289
0.480 0.610 0.812
0.610 0.096 0.814
0.097 0.479 0.813
```

## Properties
Formation energy (no corrections)   -1810 meV per atom
E   -40.5 eV per formula unit


Entry 6:
This record from Alexandria describes a geometry-optimized Hf2TlBBr structure. The functional is PBE-GGA.

The structure in POSCAR format:
```
Hf2TlBBr
1.0
-4.104 2.014 -1.299
-2.312 -2.851 2.885
0.451 3.179 3.504
Tl B Hf Br
1 1 2 1
Direct
0.500 0.500 0.500
0.000 0.000 0.000
0.000 0.000 0.500
0.500 0.000 0.000
0.000 0.500 0.000
```

## Properties
Formation energy (no corrections)   476 meV per atom
E   -28.2 eV per formula unit


Entry 7:
This record from Alexandria describes a geometry-optimized ThZn9Cu2 structure. The functional is PBE-GGA.

The structure in POSCAR format:
```
ThZn9Cu2
1.0
6.143 0.000 2.828
3.072 7.443 1.414
-0.041 0.000 8.175
Th Zn Cu
2 18 4
Direct
0.500 0.000 0.000
0.250 0.500 0.500
0.750 0.500 0.500
0.000 0.000 0.000
0.012 0.917 0.674
0.603 0.083 0.326
0.679 0.174 0.583
0.436 0.826 0.417
0.738 0.826 0.583
0.147 0.174 0.417
0.071 0.917 0.326
0.314 0.083 0.674
0.738 0.583 0.826
0.147 0.417 0.174
0.071 0.326 0.917
0.314 0.674 0.083
0.012 0.674 0.917
0.603 0.326 0.083
0.679 0.583 0.174
0.436 0.417 0.826
0.875 0.250 0.750
0.875 0.750 0.250
0.875 0.250 0.250
0.375 0.750 0.750
```

## Properties
Energy relative to the elements   -0.22 eV/atom
Relative energy among the computed polymorphs   0 meV per atom
E   -29.7 eV per formula unit


Entry 8:
This record from Alexandria describes a geometry-optimized Dy2LuMg structure. The functional is PBE-GGA.

The structure in POSCAR format:
```
Dy2LuMg
1.0
-0.938 -2.510 2.331
2.668 0.981 2.130
-5.572 5.999 4.217
Mg Lu Dy
1 1 2
Direct
0.500 0.500 0.000
0.500 0.500 0.500
0.000 0.000 0.760
0.000 0.000 0.240
```

## Properties
Energy relative to the elements   -0.02 eV/atom
Relative energy among the computed polymorphs   0 meV per atom
E   -15.4 eV per formula unit


Entry 9:
This record from Alexandria describes a geometry-optimized SrRe2GeIr structure. The functional is PBE-GGA.

The structure in POSCAR format:
```
SrRe2GeIr
1.0
-0.799 -2.665 3.882
5.440 -1.127 0.346
0.620 3.844 2.766
Re Ge Ir Sr
2 1 1 1
Direct
0.000 0.000 0.500
0.500 0.000 0.000
0.500 0.500 0.500
0.000 0.000 0.000
0.000 0.500 0.000
```

## Properties
Energy relative to the elements   1.44 eV/atom
E   -32.8 eV per formula unit


Entry 10:
This record from Alexandria describes a geometry-optimized Tm11Ag9Pd4 structure. The functional is PBE-GGA.

The structure in POSCAR format:
```
Tm11Ag9Pd4
1.0
3.574 0.000 0.000
0.000 11.713 -4.920
0.000 0.079 12.704
Tm Ag Pd
11 9 4
Direct
0.000 0.586 0.927
0.000 0.414 0.073
0.000 0.927 0.586
0.000 0.073 0.414
0.000 0.637 0.363
0.000 0.363 0.637
0.000 0.832 0.168
0.000 0.168 0.832
0.000 0.000 0.000
0.000 0.716 0.716
0.000 0.284 0.284
0.500 0.629 0.150
0.500 0.371 0.850
0.500 0.150 0.629
0.500 0.850 0.371
0.500 0.791 0.945
0.500 0.209 0.055
0.500 0.945 0.791
0.500 0.055 0.209
0.500 0.500 0.500
0.500 0.552 0.745
0.500 0.448 0.255
0.500 0.745 0.552
0.500 0.255 0.448
```

## Properties
Energy relative to the elements   -0.52 eV/atom
E   -108.1 eV per formula unit